# 1
Entry from Alexandria: a relaxed structure of ZnBiBMo2 (PBE).

Output
**Formation energy**: 1192 kJ/mol of formula units
**DOS at the Fermi energy**: 4.3 states/eV/f.u.
**Energy**: -21.14 eV for the cell shown

Lattice parameters (Å, degrees): 5.297 4.510 5.297 90.00 90.00 90.00
Each line ends with the local moment (μB).
Atoms (fractional coordinates):
Zn1 0.500 0.500 0.500  -0.04
Mo1 0.000 0.000 0.500  2.43
Mo2 0.500 0.000 0.000  2.25
B1 0.000 0.500 0.000  -0.08
Bi1 0.000 0.000 0.000  -0.04


# 2
Entry from Alexandria: a relaxed structure of MnPdRh3 (PBE).

Output
**Formation energy**: 459 kJ/mol of formula units
**DOS at the Fermi energy**: 7.5 states/eV/f.u.
**Energy**: -31.65 eV for the cell shown

Lattice parameters (Å, degrees): 4.400 4.400 4.400 90.00 90.00 90.00
Atoms (fractional coordinates):
Mn1 0.000 0.000 0.000
Rh1 0.000 0.500 0.000
Rh2 0.000 0.000 0.500
Rh3 0.500 0.000 0.000
Pd1 0.500 0.500 0.500